## Cu3GeN (PBEsol)

Data for a geometry-optimized Cu3GeN structure.

abc: 3.9232 3.9232 3.9232
angles: 90.00 90.00 90.00
Sites, in units of the cell vectors:
Cu (0.5000, 0.0000, 0.0000)
N (0.0000, 0.0000, 0.0000)
Ge (0.5000, 0.5000, 0.5000)
Cu (0.0000, 0.5000, 0.0000)
Cu (0.0000, 0.0000, 0.5000)

**ρ**: 7.6 g/cm³
**DOS at the Fermi energy**: 2.18 states/eV/cell
**ΔE_f (raw)**: 0.35 eV/atom